Entry i
The following is a DFT calculation (PBE-GGA) of a relaxed Pr6NdEr3 crystal.

## Properties
The value obtained for the density of states at the Fermi level is 28.3 states/eV per cell.

Unit cell a=6.428 b=11.170 c=11.170 alpha=120.68 beta=90.00 gamma=90.00
Sites, in units of the cell vectors:
Er 0.463 0.290 0.058
Nd 0.108 0.193 0.807
Er 0.963 0.058 0.290
Er 0.463 0.942 0.710
Nd 0.608 0.807 0.193
Er 0.091 0.384 0.616
Pr 0.371 0.059 0.476
Pr 0.871 0.476 0.059
Pr 0.152 0.718 0.282
Pr 0.871 0.941 0.524
Er 0.591 0.616 0.384
Pr 0.050 0.709 0.630
Pr 0.868 0.035 0.965
Pr 0.368 0.965 0.035
Pr 0.371 0.524 0.941
Pr 0.050 0.370 0.291
Er 0.963 0.710 0.942
Pr 0.550 0.630 0.709
Pr 0.550 0.291 0.370
Pr 0.652 0.282 0.718


Entry ii
The following is a DFT calculation (PBE-GGA) of a relaxed Pr6NdEr3 crystal.

## Properties
The value obtained for the density of states at the Fermi level is 29.8 states/eV per cell.

Unit cell a=6.525 b=11.860 c=11.860 alpha=130.78 beta=90.00 gamma=90.00
Sites, in units of the cell vectors:
Nd 0.511 0.846 0.154
Pr 0.828 0.892 0.455
Er 0.488 0.296 0.041
Pr 0.328 0.455 0.892
Pr 0.078 0.381 0.262
Er 0.488 0.959 0.704
Er 0.988 0.041 0.296
Pr 0.782 0.014 0.986
Pr 0.806 0.299 0.701
Pr 0.578 0.262 0.381
Pr 0.306 0.701 0.299
Pr 0.328 0.108 0.545
Er 0.598 0.581 0.419
Pr 0.578 0.619 0.738
Er 0.988 0.704 0.959
Nd 0.011 0.154 0.846
Pr 0.282 0.986 0.014
Pr 0.828 0.545 0.108
Er 0.098 0.419 0.581
Pr 0.078 0.738 0.619


Most stable one: entry ii, least stable one: entry i.


Entry i
The following is a DFT calculation (PBE-GGA) of a relaxed PrNd3Er7 crystal.

## Properties
The value obtained for the density of states at the Fermi level is 17.1 states/eV per cell.

Unit cell a=6.658 b=8.634 c=6.519 alpha=81.06 beta=94.92 gamma=81.11
Sites, in units of the cell vectors:
Nd 0.500 0.000 0.000
Er 0.738 0.586 0.986
Er 0.293 0.143 0.443
Er 0.222 0.783 0.730
Nd 0.936 0.159 0.797
Er 0.262 0.414 0.014
Pr 0.500 0.500 0.500
Er 0.707 0.857 0.557
Nd 0.064 0.841 0.203
Er 0.000 0.500 0.500
Er 0.778 0.217 0.270


Entry ii
The following is a DFT calculation (PBE-GGA) of a relaxed PrNd3Er7 crystal.

## Properties
The value obtained for the density of states at the Fermi level is 15.7 states/eV per cell.

Unit cell a=5.840 b=8.447 c=8.447 alpha=83.37 beta=110.19 gamma=110.19
Sites, in units of the cell vectors:
Er 0.289 0.596 0.982
Nd 0.500 0.000 0.000
Nd 0.000 0.211 0.789
Er 0.796 0.795 0.795
Er 0.289 0.982 0.596
Er 0.204 0.205 0.205
Nd 0.000 0.789 0.211
Pr 0.500 0.500 0.500
Er 0.711 0.404 0.018
Er 0.000 0.500 0.500
Er 0.711 0.018 0.404


Most stable one: entry i, least stable one: entry ii.


Entry i
The following is a DFT calculation (PBE-GGA) of a relaxed PrNd7Er4 crystal.

## Properties
The value obtained for the density of states at the Fermi level is 19.6 states/eV per cell.

Unit cell a=6.030 b=9.736 c=8.630 alpha=62.17 beta=69.55 gamma=71.96
Each line ends with the local moment (μB).
Sites, in units of the cell vectors:
Nd 0.500 0.000 0.000  0.05
Er 0.431 0.699 0.439  0.00
Nd 0.784 0.888 0.544  0.00
Nd 0.216 0.112 0.456  0.00
Er 0.332 0.375 0.961  0.00
Nd 0.217 0.753 0.813  0.00
Er 0.569 0.301 0.561  0.00
Er 0.668 0.625 0.039  0.00
Nd 0.088 0.544 0.280  0.00
Nd 0.912 0.456 0.720  0.00
Nd 0.783 0.247 0.187  0.00
Pr 0.000 0.000 0.000  0.05


Entry ii
The following is a DFT calculation (PBE-GGA) of a relaxed PrNd7Er4 crystal.

## Properties
The value obtained for the density of states at the Fermi level is 17.0 states/eV per cell.

Unit cell a=7.313 b=9.681 c=9.008 alpha=81.16 beta=90.00 gamma=40.91
Sites, in units of the cell vectors:
Nd 0.777 0.223 0.335
Nd 0.245 0.500 0.998
Er 0.718 0.782 0.664
Nd 0.500 0.000 0.000
Er 0.282 0.218 0.336
Nd 0.971 0.281 0.663
Nd 0.223 0.777 0.665
Nd 0.029 0.719 0.337
Nd 0.755 0.500 0.002
Pr 0.000 0.000 0.000
Er 0.533 0.722 0.334
Er 0.467 0.278 0.666


Most stable one: entry ii, least stable one: entry i.